<A>
Compound: BaGe2Bi2
Source: Alexandria via LeMat-Bulk
Functional: PBE
Structure: relaxed

CIF file:
```
data_BaGe2Bi2
_chemical_formula_sum 'Ba2 Ge4 Bi4'
_cell_length_a 4.7784
_cell_length_b 4.7784
_cell_length_c 14.6057
_cell_angle_alpha 90.00
_cell_angle_beta 90.00
_cell_angle_gamma 90.00
_symmetry_space_group_name_H-M 'I 4/m m m'
_symmetry_Int_Tables_number 139
_symmetry_space_group_name_Hall '-I 4 2'
loop_
_atom_site_label
_atom_site_type_symbol
_atom_site_fract_x
_atom_site_fract_y
_atom_site_fract_z
_atom_site_occupancy
Ba1 Ba 0.0000 0.0000 0.0000 1
Ge1 Ge 0.0000 0.5000 0.2500 1
Bi1 Bi 0.0000 0.0000 0.3818 1
```

---

<B>
Compound: BaGe2Bi2
Source: Alexandria via LeMat-Bulk
Functional: PBE
Structure: relaxed

CIF file:
```
data_BaGe2Bi2
_chemical_formula_sum 'Ba2 Ge4 Bi4'
_cell_length_a 5.6568
_cell_length_b 5.6568
_cell_length_c 9.9438
_cell_angle_alpha 90.00
_cell_angle_beta 90.00
_cell_angle_gamma 90.00
_symmetry_space_group_name_H-M 'I 4/m m m'
_symmetry_Int_Tables_number 139
_symmetry_space_group_name_Hall '-I 4 2'
loop_
_atom_site_label
_atom_site_type_symbol
_atom_site_fract_x
_atom_site_fract_y
_atom_site_fract_z
_atom_site_occupancy
Ba1 Ba 0.0000 0.0000 0.0000 1
Ge1 Ge 0.0000 0.0000 0.3654 1
Bi1 Bi 0.0000 0.5000 0.2500 1
```

---

<C>
Compound: BaGe2Bi2
Source: Alexandria via LeMat-Bulk
Functional: PBE
Structure: relaxed

CIF file:
```
data_BaGe2Bi2
_chemical_formula_sum 'Ba2 Ge4 Bi4'
_cell_length_a 8.3809
_cell_length_b 8.3809
_cell_length_c 4.2958
_cell_angle_alpha 90.00
_cell_angle_beta 90.00
_cell_angle_gamma 90.00
_symmetry_space_group_name_H-M 'P 4/m b m'
_symmetry_Int_Tables_number 127
_symmetry_space_group_name_Hall '-P 4 2ab'
loop_
_atom_site_label
_atom_site_type_symbol
_atom_site_fract_x
_atom_site_fract_y
_atom_site_fract_z
_atom_site_occupancy
Ba1 Ba 0.0000 0.0000 0.0000 1
Ge1 Ge 0.1116 0.3884 0.0000 1
Bi1 Bi 0.1629 0.6629 0.5000 1
```

---

Most stable pick: <B>. Distance to second place: 9.8 kJ/mol of atoms.

---

<A>
Compound: BaGeBi
Source: Alexandria via LeMat-Bulk
Functional: PBE
Structure: relaxed

CIF file:
```
data_BaGeBi
_chemical_formula_sum 'Ba1 Ge1 Bi1'
_cell_length_a 5.0318
_cell_length_b 5.0318
_cell_length_c 4.8740
_cell_angle_alpha 90.00
_cell_angle_beta 90.00
_cell_angle_gamma 120.00
_symmetry_space_group_name_H-M 'P -6 m 2'
_symmetry_Int_Tables_number 187
_symmetry_space_group_name_Hall 'P -6 2'
loop_
_atom_site_label
_atom_site_type_symbol
_atom_site_fract_x
_atom_site_fract_y
_atom_site_fract_z
_atom_site_occupancy
Ba1 Ba 0.0000 0.0000 0.0000 1
Ge1 Ge 0.3333 0.6667 0.5000 1
Bi1 Bi 0.6667 0.3333 0.5000 1
```

---

<B>
Compound: BaGeBi
Source: Alexandria via LeMat-Bulk
Functional: PBE
Structure: relaxed

CIF file:
```
data_BaGeBi
_chemical_formula_sum 'Ba4 Ge4 Bi4'
_cell_length_a 18.1362
_cell_length_b 5.0165
_cell_length_c 4.7922
_cell_angle_alpha 90.00
_cell_angle_beta 105.09
_cell_angle_gamma 90.00
_symmetry_space_group_name_H-M 'C 1 2/m 1'
_symmetry_Int_Tables_number 12
_symmetry_space_group_name_Hall '-C 2y'
loop_
_atom_site_label
_atom_site_type_symbol
_atom_site_fract_x
_atom_site_fract_y
_atom_site_fract_z
_atom_site_occupancy
Ba1 Ba 0.1176 0.0000 0.3662 1
Ge1 Ge 0.0302 0.5000 0.7800 1
Bi1 Bi 0.1911 0.5000 0.9372 1
```

---

Most stable pick: <B>. Distance to second place: 1.9 kJ/mol of atoms.

---

<A>
Compound: BaGeBi3
Source: Alexandria via LeMat-Bulk
Functional: PBE
Structure: relaxed

CIF file:
```
data_BaGeBi3
_chemical_formula_sum 'Ba1 Ge1 Bi3'
_cell_length_a 6.2662
_cell_length_b 6.2662
_cell_length_c 6.2662
_cell_angle_alpha 90.00
_cell_angle_beta 90.00
_cell_angle_gamma 90.00
_symmetry_space_group_name_H-M 'P m -3 m'
_symmetry_Int_Tables_number 221
_symmetry_space_group_name_Hall '-P 4 2 3'
loop_
_atom_site_label
_atom_site_type_symbol
_atom_site_fract_x
_atom_site_fract_y
_atom_site_fract_z
_atom_site_occupancy
Ba1 Ba 0.0000 0.0000 0.0000 1
Ge1 Ge 0.5000 0.5000 0.5000 1
Bi1 Bi 0.0000 0.0000 0.5000 1
```

---

<B>
Compound: BaGeBi3
Source: Alexandria via LeMat-Bulk
Functional: PBE
Structure: relaxed

CIF file:
```
data_BaGeBi3
_chemical_formula_sum 'Ba1 Ge1 Bi3'
_cell_length_a 5.6753
_cell_length_b 5.6753
_cell_length_c 5.6753
_cell_angle_alpha 90.00
_cell_angle_beta 90.00
_cell_angle_gamma 90.00
_symmetry_space_group_name_H-M 'P m -3 m'
_symmetry_Int_Tables_number 221
_symmetry_space_group_name_Hall '-P 4 2 3'
loop_
_atom_site_label
_atom_site_type_symbol
_atom_site_fract_x
_atom_site_fract_y
_atom_site_fract_z
_atom_site_occupancy
Ba1 Ba 0.0000 0.0000 0.0000 1
Ge1 Ge 0.5000 0.5000 0.5000 1
Bi1 Bi 0.0000 0.5000 0.5000 1
```

---

Most stable pick: <B>. Distance to second place: 111.4 kJ/mol of atoms.

---

<A>
Compound: Ba2BiH
Source: Alexandria via LeMat-Bulk
Functional: PBE
Structure: relaxed

CIF file:
```
data_Ba2BiH
_chemical_formula_sum 'Ba8 Bi4 H4'
_cell_length_a 6.7387
_cell_length_b 6.7387
_cell_length_c 15.0709
_cell_angle_alpha 90.00
_cell_angle_beta 90.00
_cell_angle_gamma 90.00
_symmetry_space_group_name_H-M 'I -4 2 d'
_symmetry_Int_Tables_number 122
_symmetry_space_group_name_Hall 'I -4 2bw'
loop_
_atom_site_label
_atom_site_type_symbol
_atom_site_fract_x
_atom_site_fract_y
_atom_site_fract_z
_atom_site_occupancy
Ba1 Ba 0.1731 0.2500 0.1250 1
Bi1 Bi 0.0000 0.0000 0.5000 1
H1 H 0.0000 0.0000 0.0000 1
```

---

<B>
Compound: Ba2BiH
Source: Alexandria via LeMat-Bulk
Functional: PBE
Structure: relaxed

CIF file:
```
data_Ba2BiH
_chemical_formula_sum 'Ba6 Bi3 H3'
_cell_length_a 4.8078
_cell_length_b 4.8078
_cell_length_c 23.0264
_cell_angle_alpha 90.00
_cell_angle_beta 90.00
_cell_angle_gamma 120.00
_symmetry_space_group_name_H-M 'R 3 m'
_symmetry_Int_Tables_number 160
_symmetry_space_group_name_Hall 'R 3 -2"'
loop_
_atom_site_label
_atom_site_type_symbol
_atom_site_fract_x
_atom_site_fract_y
_atom_site_fract_z
_atom_site_occupancy
Ba1 Ba 0.0000 0.0000 0.0000 1
Ba2 Ba 0.0000 0.0000 0.1797 1
Bi1 Bi 0.0000 0.0000 0.4233 1
H1 H 0.0000 0.0000 0.5948 1
```

---

Most stable pick: <B>. Distance to second place: 1.8 kJ/mol of atoms.

---

<A>
Compound: BaBi3H
Source: Alexandria via LeMat-Bulk
Functional: PBE
Structure: relaxed

CIF file:
```
data_BaBi3H
_chemical_formula_sum 'Ba1 Bi3 H1'
_cell_length_a 6.5359
_cell_length_b 6.5359
_cell_length_c 6.5359
_cell_angle_alpha 90.00
_cell_angle_beta 90.00
_cell_angle_gamma 90.00
_symmetry_space_group_name_H-M 'P m -3 m'
_symmetry_Int_Tables_number 221
_symmetry_space_group_name_Hall '-P 4 2 3'
loop_
_atom_site_label
_atom_site_type_symbol
_atom_site_fract_x
_atom_site_fract_y
_atom_site_fract_z
_atom_site_occupancy
Ba1 Ba 0.0000 0.0000 0.0000 1
Bi1 Bi 0.0000 0.0000 0.5000 1
H1 H 0.5000 0.5000 0.5000 1
```

---

<B>
Compound: BaBi3H
Source: Alexandria via LeMat-Bulk
Functional: PBE
Structure: relaxed

CIF file:
```
data_BaBi3H
_chemical_formula_sum 'Ba4 Bi12 H4'
_cell_length_a 9.2545
_cell_length_b 6.7959
_cell_length_c 13.5296
_cell_angle_alpha 90.00
_cell_angle_beta 129.92
_cell_angle_gamma 90.00
_symmetry_space_group_name_H-M 'P 1 21/c 1'
_symmetry_Int_Tables_number 14
_symmetry_space_group_name_Hall '-P 2ybc'
loop_
_atom_site_label
_atom_site_type_symbol
_atom_site_fract_x
_atom_site_fract_y
_atom_site_fract_z
_atom_site_occupancy
Ba1 Ba 0.2379 0.2011 0.3965 1
Bi1 Bi 0.0163 0.7144 0.9588 1
Bi2 Bi 0.2685 0.7032 0.3030 1
Bi3 Bi 0.3609 0.0206 0.1821 1
H1 H 0.3943 0.6553 0.9670 1
```

---

<C>
Compound: BaBi3H
Source: Alexandria via LeMat-Bulk
Functional: PBE
Structure: relaxed

CIF file:
```
data_BaBi3H
_chemical_formula_sum 'Ba1 Bi3 H1'
_cell_length_a 5.1966
_cell_length_b 5.1966
_cell_length_c 5.1966
_cell_angle_alpha 90.00
_cell_angle_beta 90.00
_cell_angle_gamma 90.00
_symmetry_space_group_name_H-M 'P m -3 m'
_symmetry_Int_Tables_number 221
_symmetry_space_group_name_Hall '-P 4 2 3'
loop_
_atom_site_label
_atom_site_type_symbol
_atom_site_fract_x
_atom_site_fract_y
_atom_site_fract_z
_atom_site_occupancy
Ba1 Ba 0.0000 0.0000 0.0000 1
Bi1 Bi 0.0000 0.5000 0.5000 1
H1 H 0.5000 0.5000 0.5000 1
```

---

Most stable pick: <B>. Distance to second place: 4.9 kJ/mol of atoms.

---

<A>
Compound: BaBiH3
Source: Alexandria via LeMat-Bulk
Functional: PBE
Structure: relaxed

CIF file:
```
data_BaBiH3
_chemical_formula_sum 'Ba1 Bi1 H3'
_cell_length_a 4.5424
_cell_length_b 4.5424
_cell_length_c 4.5424
_cell_angle_alpha 90.00
_cell_angle_beta 90.00
_cell_angle_gamma 90.00
_symmetry_space_group_name_H-M 'P m -3 m'
_symmetry_Int_Tables_number 221
_symmetry_space_group_name_Hall '-P 4 2 3'
loop_
_atom_site_label
_atom_site_type_symbol
_atom_site_fract_x
_atom_site_fract_y
_atom_site_fract_z
_atom_site_occupancy
Ba1 Ba 0.0000 0.0000 0.0000 1
Bi1 Bi 0.5000 0.5000 0.5000 1
H1 H 0.0000 0.5000 0.5000 1
```

---

<B>
Compound: BaBiH3
Source: Alexandria via LeMat-Bulk
Functional: PBE
Structure: relaxed

CIF file:
```
data_BaBiH3
_chemical_formula_sum 'Ba1 Bi1 H3'
_cell_length_a 4.7292
_cell_length_b 4.7292
_cell_length_c 4.7292
_cell_angle_alpha 90.00
_cell_angle_beta 90.00
_cell_angle_gamma 90.00
_symmetry_space_group_name_H-M 'P m -3 m'
_symmetry_Int_Tables_number 221
_symmetry_space_group_name_Hall '-P 4 2 3'
loop_
_atom_site_label
_atom_site_type_symbol
_atom_site_fract_x
_atom_site_fract_y
_atom_site_fract_z
_atom_site_occupancy
Ba1 Ba 0.0000 0.0000 0.0000 1
Bi1 Bi 0.5000 0.5000 0.5000 1
H1 H 0.0000 0.0000 0.5000 1
```

---

Most stable pick: <A>. Distance to second place: 33.7 kJ/mol of atoms.

---

<A>
Compound: BaBi2H
Source: Alexandria via LeMat-Bulk
Functional: PBE
Structure: relaxed

CIF file:
```
data_BaBi2H
_chemical_formula_sum 'Ba4 Bi8 H4'
_cell_length_a 8.0129
_cell_length_b 8.0129
_cell_length_c 8.0129
_cell_angle_alpha 90.00
_cell_angle_beta 90.00
_cell_angle_gamma 90.00
_symmetry_space_group_name_H-M 'F m -3 m'
_symmetry_Int_Tables_number 225
_symmetry_space_group_name_Hall '-F 4 2 3'
loop_
_atom_site_label
_atom_site_type_symbol
_atom_site_fract_x
_atom_site_fract_y
_atom_site_fract_z
_atom_site_occupancy
Ba1 Ba 0.0000 0.0000 0.0000 1
Bi1 Bi 0.2500 0.2500 0.2500 1
H1 H 0.0000 0.0000 0.5000 1
```

---

<B>
Compound: BaBi2H
Source: Alexandria via LeMat-Bulk
Functional: PBE
Structure: relaxed

CIF file:
```
data_BaBi2H
_chemical_formula_sum 'Ba4 Bi8 H4'
_cell_length_a 7.0434
_cell_length_b 7.0434
_cell_length_c 10.0207
_cell_angle_alpha 90.00
_cell_angle_beta 90.00
_cell_angle_gamma 90.00
_symmetry_space_group_name_H-M 'I 41/a m d'
_symmetry_Int_Tables_number 141
loop_
_symmetry_equiv_pos_as_xyz
'x,y,z'
'-x,-y,-z'
'-y+1/4,x+3/4,z+1/4'
'y+1/4,-x+3/4,-z+1/4'
'-x+1/2,-y,z+1/2'
'x+1/2,y,-z+1/2'
'y+1/4,-x+1/4,z+3/4'
'-y+1/4,x+1/4,-z+3/4'
'x,-y,-z'
'-x,y,z'
'-y+1/4,-x+1/4,-z+3/4'
'y+1/4,x+1/4,z+3/4'
'-x+1/2,y,-z+1/2'
'x+1/2,-y,z+1/2'
'y+1/4,x+3/4,-z+1/4'
'-y+1/4,-x+3/4,z+1/4'
'x+1/2,y+1/2,z+1/2'
'-x+1/2,-y+1/2,-z+1/2'
'-y+3/4,x+1/4,z+3/4'
'y+3/4,-x+1/4,-z+3/4'
'-x,-y+1/2,z'
'x,y+1/2,-z'
'y+3/4,-x+3/4,z+1/4'
'-y+3/4,x+3/4,-z+1/4'
'x+1/2,-y+1/2,-z+1/2'
'-x+1/2,y+1/2,z+1/2'
'-y+3/4,-x+3/4,-z+1/4'
'y+3/4,x+3/4,z+1/4'
'-x,y+1/2,-z'
'x,-y+1/2,z'
'y+3/4,x+1/4,-z+3/4'
'-y+3/4,-x+1/4,z+3/4'
loop_
_atom_site_label
_atom_site_type_symbol
_atom_site_fract_x
_atom_site_fract_y
_atom_site_fract_z
_atom_site_occupancy
Ba1 Ba 0.0000 0.2500 0.3750 1
Bi1 Bi 0.0000 0.0000 0.0000 1
H1 H 0.0000 0.2500 0.8750 1
```

---

Most stable pick: <B>. Distance to second place: 49.3 kJ/mol of atoms.

---

<A>
Compound: Ba4Bi2H
Source: Alexandria via LeMat-Bulk
Functional: PBE
Structure: relaxed

CIF file:
```
data_Ba4Bi2H
_chemical_formula_sum 'Ba16 Bi8 H4'
_cell_length_a 9.6421
_cell_length_b 7.9024
_cell_length_c 15.3531
_cell_angle_alpha 90.00
_cell_angle_beta 90.00
_cell_angle_gamma 90.00
_symmetry_space_group_name_H-M 'P n m a'
_symmetry_Int_Tables_number 62
_symmetry_space_group_name_Hall '-P 2ac 2n'
loop_
_atom_site_label
_atom_site_type_symbol
_atom_site_fract_x
_atom_site_fract_y
_atom_site_fract_z
_atom_site_occupancy
Ba1 Ba 0.0795 0.2500 0.0665 1
Ba2 Ba 0.1218 0.2500 0.5528 1
Ba3 Ba 0.2378 0.0034 0.3036 1
Bi1 Bi 0.0409 0.7500 0.1524 1
Bi2 Bi 0.0715 0.7500 0.6492 1
H1 H 0.1975 0.7500 0.9168 1
```

---

<B>
Compound: Ba4Bi2H
Source: Alexandria via LeMat-Bulk
Functional: PBE
Structure: relaxed

CIF file:
```
data_Ba4Bi2H
_chemical_formula_sum 'Ba8 Bi4 H2'
_cell_length_a 7.6852
_cell_length_b 7.8768
_cell_length_c 10.1529
_cell_angle_alpha 90.00
_cell_angle_beta 109.26
_cell_angle_gamma 90.00
_symmetry_space_group_name_H-M 'P 1 21/m 1'
_symmetry_Int_Tables_number 11
_symmetry_space_group_name_Hall '-P 2yb'
loop_
_atom_site_label
_atom_site_type_symbol
_atom_site_fract_x
_atom_site_fract_y
_atom_site_fract_z
_atom_site_occupancy
Ba1 Ba 0.0015 0.0016 0.2561 1
Ba2 Ba 0.4047 0.7500 0.0891 1
Ba3 Ba 0.4194 0.7500 0.6165 1
Bi1 Bi 0.2225 0.2500 0.0523 1
Bi2 Bi 0.2475 0.2500 0.5654 1
H1 H 0.2389 0.7500 0.8074 1
```

---

Most stable pick: <B>. Distance to second place: 0.8 kJ/mol of atoms.